Record 1
Ba2Ti3Tl2Zn2O10 PBE optimized geometry; SG = No. 1; formation energy from raw total energies = -2.032 eV/atom
1.0
3.8273 0.0000 0.0000
0.0004 3.8818 0.0000
0.0417 0.4213 20.5696
Ba Ti Tl Zn O
2 3 2 2 10
Direct
0.0000 0.0000 0.0000
0.4976 0.4668 0.3445
0.4990 0.3502 0.6893
0.5033 0.5178 0.8636
0.9980 0.9439 0.4819
0.4975 0.5202 0.1148
0.9962 0.0084 0.2299
0.4970 0.4414 0.5617
0.9957 0.9309 0.7741
0.9999 0.2864 0.7049
0.0051 0.5778 0.8429
0.4936 0.5732 0.2253
0.4980 0.9322 0.5058
0.5005 0.7993 0.7130
0.5020 0.5004 0.9502
0.5079 0.0584 0.8392
0.9951 0.0849 0.1196
0.9983 0.4372 0.5038
0.9988 0.9519 0.3954

---

Record 2
SrAl2Co PBE optimized geometry; SG = No. 44; formation enthalpy at 0 K = 4.52 kcal/mol of atoms
1.0
-2.2318 2.7833 3.6186
2.2318 -2.7833 3.6186
2.2318 2.7833 -3.6186
Sr Al Co
1 2 1
Direct
0.0000 0.0000 0.0000
0.3172 0.8172 0.5000
0.5396 0.5396 0.0000
0.6450 0.1450 0.5000

---

Record 3
Sc5AgRh4 PBE optimized geometry; SG = No. 123; formation enthalpy at 0 K = -20.09 kcal/mol of atoms
1.0
3.2100 0.0000 0.0000
0.0000 3.2100 0.0000
0.0000 0.0000 17.0361
Sc Ag Rh
5 1 4
Direct
0.0000 0.0000 0.0000
0.0000 0.0000 0.1918
0.0000 0.0000 0.3830
0.0000 0.0000 0.6170
0.0000 0.0000 0.8082
0.5000 0.5000 0.5000
0.5000 0.5000 0.0960
0.5000 0.5000 0.2899
0.5000 0.5000 0.7101
0.5000 0.5000 0.9040

---

Record 4
La3OsAu PBE optimized geometry; energy relative to the lowest polymorph listed for this composition = 2 meV per atom; SG = No. 14; formation enthalpy at 0 K = -9.19 kcal/mol of atoms
1.0
7.7902 0.0000 0.0000
0.0000 7.4536 0.0000
-4.8995 0.0000 10.0816
La Os Au
12 4 4
Direct
0.0788 0.1655 0.2388
0.0788 0.3345 0.7388
0.2714 0.5128 0.0768
0.2714 0.9872 0.5768
0.3304 0.5044 0.5573
0.3304 0.9956 0.0573
0.6696 0.0044 0.9427
0.6696 0.4956 0.4427
0.7286 0.0128 0.4232
0.7286 0.4872 0.9232
0.9212 0.6655 0.2612
0.9212 0.8345 0.7612
0.0057 0.2039 0.9563
0.0057 0.2961 0.4563
0.9943 0.7039 0.5437
0.9943 0.7961 0.0437
0.3379 0.7084 0.8241
0.3379 0.7916 0.3241
0.6621 0.2084 0.6759
0.6621 0.2916 0.1759

---

Record 5
PaB2 PBE optimized geometry; energy relative to the lowest polymorph listed for this composition = 1375 meV per atom; SG = No. 139; formation enthalpy at 0 K = 16.41 kcal/mol of atoms
1.0
-1.4299 1.4299 4.6417
1.4299 -1.4299 4.6417
1.4299 1.4299 -4.6417
Pa B
1 2
Direct
0.0000 0.0000 0.0000
0.2799 0.2799 0.0000
0.7201 0.7201 0.0000

---

Record 6
Mg6TiNb PBE optimized geometry; energy relative to the lowest polymorph listed for this composition = 73 meV per atom; SG = No. 38; formation enthalpy at 0 K = 4.98 kcal/mol of atoms
1.0
5.0190 0.0000 0.0000
0.0000 2.9255 5.6277
0.0000 -2.9255 5.6277
Mg Ti Nb
6 1 1
Direct
0.0000 0.0000 0.0000
0.0000 0.0107 0.5171
0.0000 0.4995 0.4995
0.0000 0.5171 0.0107
0.5000 0.3547 0.8543
0.5000 0.8543 0.3547
0.5000 0.3518 0.3518
0.5000 0.8538 0.8538

---

| no. | DOS(E_F) (states/eV per cell) | total magnetic moment (μB/f.u.) | E_tot (eV per atom) |
| --- | --- | --- | --- |
| 1 | 0.694 | 0.00 | -6.474 |
| 2 | 4.092 | 0.33 | -3.872 |
| 3 | 5.321 | 0.00 | -7.263 |
| 4 | 17.639 | 0.00 | -6.256 |
| 5 | 3.010 | 0.00 | -6.905 |
| 6 | 7.599 | 1.05 | -3.226 |